No. 1
The following is a PBE calculation of PaCoNi3 after structural relaxation, from Alexandria.

## Properties
E_form: -0.03 eV/atom
Magnetization: 0.00 μB per cell
DFT total energy: -6.818 eV/atom
V: 14.65 Å³ per atom

abc: 5.276 5.276 5.276
angles: 87.78 87.78 87.78
Atoms (fractional coordinates):
Pa (0.250, 0.250, 0.250)
Pa (0.750, 0.750, 0.750)
Co (0.000, 0.000, 0.000)
Co (0.500, 0.500, 0.500)
Ni (0.136, 0.750, 0.364)
Ni (0.250, 0.636, 0.864)
Ni (0.364, 0.136, 0.750)
Ni (0.636, 0.864, 0.250)
Ni (0.750, 0.364, 0.136)
Ni (0.864, 0.250, 0.636)

No. 2
The following is a PBE calculation of SiSnIr2Br after structural relaxation, from Alexandria.

## Properties
Magnetization: 0.88 μB per cell
DFT total energy: -5.045 eV/atom
V: 23.11 Å³ per atom

abc: 4.477 4.477 5.765
angles: 90.00 90.00 90.00
Atoms (fractional coordinates):
Si (0.000, 0.000, 0.000)
Sn (0.000, 0.000, 0.500)
Ir (0.000, 0.500, 0.000)
Ir (0.500, 0.000, 0.000)
Br (0.500, 0.500, 0.500)

No. 3
The following is a PBE calculation of Mn2CuSb after structural relaxation, from Alexandria.

## Properties
Magnetization: 5.62 μB per cell
DFT total energy: -6.519 eV/atom
V: 14.68 Å³ per atom

abc: 3.862 3.862 3.937
angles: 90.00 90.00 90.00
Atoms (fractional coordinates):
Mn (0.000, 0.500, 0.000)
Mn (0.500, 0.000, 0.000)
Cu (0.000, 0.000, 0.500)
Sb (0.500, 0.500, 0.500)

No. 4
The following is a PBE calculation of CoSe2Cl after structural relaxation, from Alexandria.

## Properties
ΔE to the lowest computed polymorph: 0.000 eV per atom
Magnetization: 0.00 μB per cell
DFT total energy: -4.232 eV/atom
V: 21.07 Å³ per atom

abc: 7.543 7.543 7.543
angles: 28.13 28.13 28.13
Atoms (fractional coordinates):
Co (0.000, 0.000, 0.000)
Se (0.385, 0.385, 0.385)
Se (0.615, 0.615, 0.615)
Cl (0.500, 0.500, 0.500)

No. 5
The following is a PBE calculation of HoScIrRu after structural relaxation, from Alexandria.

## Properties
ΔE to the lowest computed polymorph: 0.000 eV per atom
E_form: -0.71 eV/atom
Magnetization: 0.00 μB per cell
DFT total energy: -7.973 eV/atom
V: 18.10 Å³ per atom

abc: 4.679 4.679 4.679
angles: 60.00 60.00 60.00
Atoms (fractional coordinates):
Ho (0.000, 0.000, 0.000)
Sc (0.500, 0.500, 0.500)
Ir (0.250, 0.250, 0.250)
Ru (0.750, 0.750, 0.750)

No. 6
The following is a PBE calculation of RbZrTe2 after structural relaxation, from Alexandria.

## Properties
Magnetization: 0.15 μB per cell
DFT total energy: -4.776 eV/atom
V: 29.94 Å³ per atom

abc: 3.692 3.692 8.786
angles: 90.00 90.00 90.00
Atoms (fractional coordinates):
Rb (0.000, 0.000, 0.000)
Zr (0.000, 0.000, 0.500)
Te (0.500, 0.500, 0.305)
Te (0.500, 0.500, 0.695)

No. 7
The following is a PBE calculation of Hf2VGa after structural relaxation, from Alexandria.

## Properties
E_form: 0.03 eV/atom
Magnetization: 1.21 μB per cell
DFT total energy: -7.978 eV/atom
V: 19.15 Å³ per atom

abc: 9.143 9.143 9.143
angles: 19.78 19.78 19.78
Atoms (fractional coordinates):
Hf (0.247, 0.247, 0.247)
Hf (0.753, 0.753, 0.753)
V (0.500, 0.500, 0.500)
Ga (0.000, 0.000, 0.000)

No. 8
The following is a PBE calculation of PmGaGePd2 after structural relaxation, from Alexandria.

## Properties
E_form: -0.72 eV/atom
Magnetization: 0.00 μB per cell
DFT total energy: -5.276 eV/atom
V: 19.24 Å³ per atom

abc: 6.563 6.563 6.563
angles: 144.62 143.77 51.54
Atoms (fractional coordinates):
Pm (0.000, 0.000, 0.000)
Ga (0.256, 0.756, 0.500)
Ge (0.609, 0.609, 0.000)
Pd (0.399, 0.399, 0.000)
Pd (0.735, 0.235, 0.500)

No. 9
The following is a PBE calculation of LiPuC after structural relaxation, from Alexandria.

## Properties
ΔE to the lowest computed polymorph: 0.000 eV per atom
E_form: 0.15 eV/atom
Magnetization: 5.00 μB per cell
DFT total energy: -8.341 eV/atom
V: 14.96 Å³ per atom

abc: 3.989 3.989 3.989
angles: 60.00 60.00 60.00
Atoms (fractional coordinates):
Li (0.000, 0.000, 0.000)
Pu (0.500, 0.500, 0.500)
C (0.750, 0.750, 0.750)

No. 10
The following is a PBE calculation of NaHoTh2Te4 after structural relaxation, from Alexandria.

## Properties
Magnetization: 0.00 μB per cell
DFT total energy: -5.280 eV/atom
V: 30.64 Å³ per atom

abc: 7.365 4.218 8.239
angles: 90.00 106.75 90.00
Atoms (fractional coordinates):
Na (0.000, 0.000, 0.000)
Ho (0.500, 0.500, 0.000)
Th (0.000, 0.500, 0.500)
Th (0.500, 0.000, 0.500)
Te (0.248, 0.500, 0.238)
Te (0.254, 0.000, 0.765)
Te (0.746, 0.000, 0.235)
Te (0.752, 0.500, 0.762)

No. 11
The following is a PBE calculation of Ca2YC2 after structural relaxation, from Alexandria.

## Properties
ΔE to the lowest computed polymorph: 0.000 eV per atom
E_form: 0.93 eV/atom
Magnetization: 0.00 μB per cell
DFT total energy: -4.856 eV/atom
V: 16.66 Å³ per atom

abc: 7.494 7.494 2.966
angles: 90.00 90.00 90.00
Atoms (fractional coordinates):
Ca (0.124, 0.376, 0.000)
Ca (0.376, 0.876, 0.000)
Ca (0.624, 0.124, 0.000)
Ca (0.876, 0.624, 0.000)
Y (0.000, 0.000, 0.000)
Y (0.500, 0.500, 0.000)
C (0.178, 0.678, 0.500)
C (0.322, 0.178, 0.500)
C (0.678, 0.822, 0.500)
C (0.822, 0.322, 0.500)

No. 12
The following is a PBE calculation of LaTlCd2 after structural relaxation, from Alexandria.

## Properties
E_form: -0.05 eV/atom
Magnetization: 0.00 μB per cell
DFT total energy: -2.326 eV/atom
V: 28.48 Å³ per atom

abc: 11.203 11.203 11.203
angles: 17.74 17.74 17.74
Atoms (fractional coordinates):
La (0.000, 0.000, 0.000)
Tl (0.500, 0.500, 0.500)
Cd (0.247, 0.247, 0.247)
Cd (0.753, 0.753, 0.753)

No. 13
The following is a PBE calculation of PuCdGa2Au5 after structural relaxation, from Alexandria.

## Properties
E_form: -0.19 eV/atom
Magnetization: 5.61 μB per cell
DFT total energy: -4.379 eV/atom
V: 21.04 Å³ per atom

abc: 4.873 4.873 7.973
angles: 90.00 90.00 90.00
Atoms (fractional coordinates):
Pu (0.000, 0.000, 0.000)
Cd (0.000, 0.000, 0.500)
Ga (0.500, 0.500, 0.346)
Ga (0.500, 0.500, 0.654)
Au (0.000, 0.500, 0.237)
Au (0.000, 0.500, 0.763)
Au (0.500, 0.000, 0.237)
Au (0.500, 0.000, 0.763)
Au (0.500, 0.500, 0.000)

No. 14
The following is a PBE calculation of CsAsPSe2 after structural relaxation, from Alexandria.

## Properties
ΔE to the lowest computed polymorph: 1.788 eV per atom
Magnetization: 3.51 μB per cell
DFT total energy: -1.732 eV/atom
V: 42.21 Å³ per atom

abc: 5.704 5.704 6.486
angles: 90.00 90.00 90.00
Atoms (fractional coordinates):
Cs (0.000, 0.000, 0.000)
As (0.000, 0.000, 0.500)
P (0.500, 0.500, 0.500)
Se (0.000, 0.500, 0.000)
Se (0.500, 0.000, 0.000)

No. 15
The following is a PBE calculation of CeNdCuNi after structural relaxation, from Alexandria.

## Properties
E_form: -0.13 eV/atom
Magnetization: 0.57 μB per cell
DFT total energy: -5.277 eV/atom
V: 21.61 Å³ per atom

abc: 4.963 4.963 4.963
angles: 60.00 60.00 60.00
Atoms (fractional coordinates):
Ce (0.000, 0.000, 0.000)
Nd (0.500, 0.500, 0.500)
Cu (0.250, 0.250, 0.250)
Ni (0.750, 0.750, 0.750)

No. 16
The following is a PBE calculation of Re2Pt after structural relaxation, from Alexandria.

## Properties
ΔE to the lowest computed polymorph: 0.019 eV per atom
E_form: -0.07 eV/atom
Magnetization: 0.00 μB per cell
DFT total energy: -10.380 eV/atom
V: 15.06 Å³ per atom

abc: 5.272 5.272 6.608
angles: 103.81 103.81 30.53
Atoms (fractional coordinates):
Re (0.145, 0.145, 0.026)
Re (0.195, 0.195, 0.645)
Re (0.805, 0.805, 0.355)
Re (0.855, 0.855, 0.974)
Pt (0.471, 0.471, 0.698)
Pt (0.529, 0.529, 0.302)

No. 17
The following is a PBE calculation of B2P2Cl after structural relaxation, from Alexandria.

## Properties
ΔE to the lowest computed polymorph: 0.000 eV per atom
Magnetization: 0.00 μB per cell
DFT total energy: -4.655 eV/atom
V: 12.42 Å³ per atom

abc: 4.873 4.873 4.873
angles: 132.28 132.28 69.79
Atoms (fractional coordinates):
B (0.250, 0.750, 0.500)
B (0.750, 0.250, 0.500)
P (0.147, 0.147, 0.000)
P (0.853, 0.853, 0.000)
Cl (0.500, 0.500, 0.000)

No. 18
The following is a PBE calculation of LiZn2Tc after structural relaxation, from Alexandria.

## Properties
ΔE to the lowest computed polymorph: 0.207 eV per atom
E_form: 0.12 eV/atom
Magnetization: 0.00 μB per cell
DFT total energy: -3.587 eV/atom
V: 13.83 Å³ per atom

abc: 4.768 4.768 4.768
angles: 133.91 133.91 67.23
Atoms (fractional coordinates):
Li (0.000, 0.000, 0.000)
Zn (0.500, 0.500, 0.000)
Zn (0.750, 0.250, 0.500)
Tc (0.250, 0.750, 0.500)

No. 19
The following is a PBE calculation of MgBi2Pd2 after structural relaxation, from Alexandria.

## Properties
ΔE to the lowest computed polymorph: 0.172 eV per atom
E_form: -0.14 eV/atom
Magnetization: 0.00 μB per cell
DFT total energy: -4.092 eV/atom
V: 22.97 Å³ per atom

abc: 8.146 8.146 3.462
angles: 90.00 90.00 90.00
Atoms (fractional coordinates):
Mg (0.000, 0.000, 0.000)
Mg (0.500, 0.500, 0.000)
Bi (0.160, 0.340, 0.000)
Bi (0.340, 0.840, 0.000)
Bi (0.660, 0.160, 0.000)
Bi (0.840, 0.660, 0.000)
Pd (0.131, 0.631, 0.500)
Pd (0.369, 0.131, 0.500)
Pd (0.631, 0.869, 0.500)
Pd (0.869, 0.369, 0.500)

No. 20
The following is a PBE calculation of BeGa2I after structural relaxation, from Alexandria.

## Properties
ΔE to the lowest computed polymorph: 0.470 eV per atom
Magnetization: 0.00 μB per cell
DFT total energy: -2.120 eV/atom
V: 24.10 Å³ per atom

abc: 5.147 5.147 5.147
angles: 60.00 60.00 60.00
Atoms (fractional coordinates):
Be (0.000, 0.000, 0.000)
Ga (0.250, 0.250, 0.250)
Ga (0.750, 0.750, 0.750)
I (0.500, 0.500, 0.500)

No. 21
The following is a PBE calculation of Tb3Ga9Ni2 after structural relaxation, from Alexandria.

## Properties
E_form: -0.57 eV/atom
Magnetization: 0.00 μB per cell
DFT total energy: -4.337 eV/atom
V: 17.87 Å³ per atom

abc: 8.095 8.095 8.095
angles: 150.05 105.26 82.55
Atoms (fractional coordinates):
Tb (0.000, 0.000, 0.000)
Tb (0.319, 0.319, 0.000)
Tb (0.681, 0.681, 0.000)
Ga (0.031, 0.661, 0.369)
Ga (0.154, 0.875, 0.279)
Ga (0.292, 0.661, 0.631)
Ga (0.405, 0.125, 0.279)
Ga (0.500, 0.000, 0.500)
Ga (0.595, 0.875, 0.721)
Ga (0.708, 0.339, 0.369)
Ga (0.846, 0.125, 0.721)
Ga (0.969, 0.339, 0.631)
Ni (0.282, 0.500, 0.782)
Ni (0.718, 0.500, 0.218)

No. 22
The following is a PBE calculation of RbLi2Np3S8 after structural relaxation, from Alexandria.

## Properties
Magnetization: 8.00 μB per cell
DFT total energy: -6.716 eV/atom
V: 32.27 Å³ per atom

abc: 9.463 9.463 9.463
angles: 49.60 49.60 49.60
Atoms (fractional coordinates):
Rb (0.000, 0.000, 0.000)
Li (0.418, 0.418, 0.418)
Li (0.844, 0.844, 0.844)
Np (0.354, 0.354, 0.853)
Np (0.354, 0.853, 0.354)
Np (0.853, 0.354, 0.354)
S (0.078, 0.078, 0.565)
S (0.078, 0.565, 0.078)
S (0.131, 0.131, 0.131)
S (0.150, 0.617, 0.617)
S (0.565, 0.078, 0.078)
S (0.577, 0.577, 0.577)
S (0.617, 0.150, 0.617)
S (0.617, 0.617, 0.150)

No. 23
The following is a PBE calculation of YSn4Pd6 after structural relaxation, from Alexandria.

## Properties
E_form: -0.47 eV/atom
Magnetization: 0.00 μB per cell
DFT total energy: -5.342 eV/atom
V: 21.15 Å³ per atom

abc: 6.916 6.916 6.916
angles: 120.35 120.35 89.39
Atoms (fractional coordinates):
Y (0.000, 0.000, 0.000)
Sn (0.117, 0.117, 0.575)
Sn (0.458, 0.883, 0.000)
Sn (0.542, 0.542, 0.425)
Sn (0.883, 0.458, 0.000)
Pd (0.000, 0.500, 0.500)
Pd (0.239, 0.559, 0.000)
Pd (0.441, 0.441, 0.681)
Pd (0.500, 0.000, 0.500)
Pd (0.559, 0.239, 0.000)
Pd (0.761, 0.761, 0.319)

No. 24
The following is a PBE calculation of MgAlRe2 after structural relaxation, from Alexandria.

## Properties
ΔE to the lowest computed polymorph: 0.219 eV per atom
E_form: 0.14 eV/atom
Magnetization: 0.00 μB per cell
DFT total energy: -7.416 eV/atom
V: 15.58 Å³ per atom

abc: 5.196 5.196 5.196
angles: 144.56 129.18 63.48
Atoms (fractional coordinates):
Mg (0.000, 0.000, 0.000)
Al (0.727, 0.227, 0.500)
Re (0.260, 0.760, 0.500)
Re (0.483, 0.483, 0.000)

No. 25
The following is a PBE calculation of YIrRu3 after structural relaxation, from Alexandria.

## Properties
ΔE to the lowest computed polymorph: 1.502 eV per atom
E_form: 2.43 eV/atom
Magnetization: 4.76 μB per cell
DFT total energy: -6.196 eV/atom
V: 21.11 Å³ per atom

abc: 4.726 4.726 4.726
angles: 90.00 90.00 90.00
Atoms (fractional coordinates):
Y (0.000, 0.000, 0.000)
Ir (0.500, 0.500, 0.500)
Ru (0.000, 0.000, 0.500)
Ru (0.000, 0.500, 0.000)
Ru (0.500, 0.000, 0.000)

No. 26
The following is a PBE calculation of TaTcAs2Se after structural relaxation, from Alexandria.

## Properties
ΔE to the lowest computed polymorph: 0.145 eV per atom
Magnetization: 2.56 μB per cell
DFT total energy: -5.983 eV/atom
V: 22.28 Å³ per atom

abc: 4.659 4.659 5.131
angles: 90.00 90.00 90.00
Atoms (fractional coordinates):
Ta (0.000, 0.000, 0.000)
Tc (0.500, 0.500, 0.500)
As (0.000, 0.500, 0.500)
As (0.500, 0.000, 0.500)
Se (0.500, 0.500, 0.000)